Below is a geometry-optimized MnGe2F structure, with properties calculated at the PBE with a Hubbard U level.

abc: 4.526 4.526 4.526
angles: 60.00 60.00 60.00
Fractional positions:
Ge 0.250 0.250 0.250
Ge 0.750 0.750 0.750
Mn 0.500 0.500 0.500
F 0.000 0.000 0.000

crystal system = cubic
symmetry = Fm-3m (225)
distance to the lowest polymorph of the same formula = 149 meV per atom